Entry 1:
Density functional theory data (PBE-GGA) for a relaxed structure of TcAsCl3.

Geometry as CIF:
```
data_TcAsCl3
_cell_length_a 4.8215
_cell_length_b 4.8215
_cell_length_c 4.8215
_cell_angle_alpha 90.00
_cell_angle_beta 90.00
_cell_angle_gamma 90.00
_symmetry_space_group_name_H-M 'P m -3 m'
_symmetry_Int_Tables_number 221
_symmetry_space_group_name_Hall '-P 4 2 3'
loop_
_atom_site_label
_atom_site_type_symbol
_atom_site_fract_x
_atom_site_fract_y
_atom_site_fract_z
Tc1 Tc 0.0000 0.0000 0.0000
As1 As 0.5000 0.5000 0.5000
Cl1 Cl 0.0000 0.0000 0.5000
```

Values from the calculation:
The energy above the lowest structure with this stoichiometry is 0.000 eV per atom. Its density is 4.14 g/cm³.


Entry 2:
Density functional theory data (PBE-GGA) for a relaxed structure of TbSc2TlC.

Geometry as CIF:
```
data_TbSc2TlC
_cell_length_a 4.6034
_cell_length_b 4.6034
_cell_length_c 4.9044
_cell_angle_alpha 90.00
_cell_angle_beta 90.00
_cell_angle_gamma 90.00
_symmetry_space_group_name_H-M 'P 4/m m m'
_symmetry_Int_Tables_number 123
_symmetry_space_group_name_Hall '-P 4 2'
loop_
_atom_site_label
_atom_site_type_symbol
_atom_site_fract_x
_atom_site_fract_y
_atom_site_fract_z
Tb1 Tb 0.0000 0.0000 0.0000
Sc1 Sc 0.0000 0.5000 0.5000
Tl1 Tl 0.5000 0.5000 0.0000
C1 C 0.0000 0.0000 0.5000
```

Values from the calculation:
The formation energy comes out at -0.5331 eV per atom. Its density is 7.43 g/cm³.


Which formula does entry 2 have?
TbSc2TlC


What is the formula in the second record?
TbSc2TlC